Here is a relaxed CaTlAg2 crystal from the Alexandria database. Energies are from GGA-PBE.

The structure in POSCAR format:
```
CaTlAg2
1.0
9.052 -0.017 -0.010
8.291 3.632 -0.010
8.291 1.728 3.195
Tl Ag Ca
1 2 1
direct
0.750 0.750 0.750
0.498 0.498 0.498
0.002 0.002 0.002
0.250 0.250 0.250
```

## Properties
DOS(E_F) = 0.578 states/eV/atom
Symmetry = No. 166
Final energy = -2.479 eV/atom
ρ = 7.2 g cm⁻³

---

Here is a relaxed Nd2Sm3Tm crystal from the Alexandria database. Energies are from GGA-PBE.

The structure in POSCAR format:
```
Nd2Sm3Tm
1.0
3.919 1.980 4.251
2.181 10.458 6.257
-0.223 2.728 12.074
Sm Nd Tm
6 4 2
direct
0.592 0.318 0.121
0.250 0.380 0.620
0.408 0.682 0.879
0.908 0.879 0.682
0.750 0.620 0.380
0.092 0.121 0.318
0.645 0.569 0.166
0.855 0.834 0.431
0.145 0.166 0.569
0.355 0.431 0.834
0.000 0.000 0.000
0.500 0.000 0.000
```

## Properties
DOS(E_F) = 1.831 states/eV/atom
Symmetry = No. 15
Final energy = -4.542 eV/atom
Energy above the lowest structure with this stoichiometry = 14.7 kJ per mole of atoms
ρ = 7.4 g cm⁻³